# PuTcNi2O6

An optimized crystal structure of PuTcNi2O6 (PBE+U, Alexandria via LeMat-Bulk).

The structure in POSCAR format:
```
PuTcNi2O6
1.0
5.913 0.000 0.000
0.000 5.913 0.000
0.000 0.000 4.112
Pu Tc Ni O
1 1 2 6
direct
0.000 0.000 0.000
0.500 0.500 0.923
0.000 0.500 0.035
0.500 0.000 0.035
0.000 0.000 0.503
0.269 0.269 0.012
0.269 0.731 0.012
0.500 0.500 0.501
0.731 0.269 0.012
0.731 0.731 0.012
```

Its final energy is -7.3372 eV/atom.